# 1
## Tb12Ho6Pu (PBE)

Data for a geometry-optimized Tb12Ho6Pu structure.

The value obtained for the uncorrected energy is -290.3 eV per cell. For the formation energy, the calculation gives 0.03 eV per atom.

It has space group R-3 (No. 148, hexagonal axes), with a = 15.4325 Å, b = 15.4325 Å, c = 8.6692 Å, α = 90.00°, β = 90.00° and γ = 120.00°. Symmetry generates all atoms from Tb at (0.0353, 0.2805, 0.3355), Tb at (0.0722, 0.5616, 0.6668), Ho at (0.0174, 0.1391, 0.6685) and Pu at (0.0000, 0.0000, 0.0000).

---

# 2
## TbHo2Pu (PBE)

Data for a geometry-optimized TbHo2Pu structure.

The value obtained for the uncorrected energy is -83.2 eV per cell. For the formation energy, the calculation gives 0.09 eV per atom.

It has space group R3m (No. 160, hexagonal axes), with a = 3.5271 Å, b = 3.5271 Å, c = 33.9751 Å, α = 90.00°, β = 90.00° and γ = 120.00°. Symmetry generates all atoms from Tb at (0.0000, 0.0000, 0.0000), Ho at (0.0000, 0.0000, 0.2493), Ho at (0.0000, 0.0000, 0.4183) and Pu at (0.0000, 0.0000, 0.8343).

---

# 3
## TbHoPu2 (PBE)

Data for a geometry-optimized TbHoPu2 structure.

The value obtained for the uncorrected energy is -109.5 eV per cell. For the formation energy, the calculation gives 0.35 eV per atom.

It has space group R-3m (No. 166, hexagonal axes), with a = 3.3699 Å, b = 3.3699 Å, c = 36.3533 Å, α = 90.00°, β = 90.00° and γ = 120.00°. Symmetry generates all atoms from Tb at (0.0000, 0.0000, 0.0000), Ho at (0.0000, 0.0000, 0.5000) and Pu at (0.0000, 0.0000, 0.4139).

---

no.,E above lowest polymorph (eV per formula unit)
1,0.000
2,0.000
3,0.687